{
  "formula": "Si3AuI",
  "functional": "PBE",
  "state": "optimized geometry",
  "lattice": [[-4.751, -0.505, -1.443], [-0.824, -3.124, 3.805], [-1.288, 3.860, 2.890]],
  "species": ["Si", "Si", "Si", "I", "Au"],
  "frac_coords": [[0.000, 0.000, 0.500], [0.000, 0.500, 0.000], [0.500, 0.000, 0.000], [0.500, 0.500, 0.500], [0.000, 0.000, 0.000]],
  "e_tot_ev_per_cell": -16.687,
  "magmom_total_mub_per_fu": 0.00,
  "formation_energy_uncorrected_kj_per_mol_atoms": 85.1
}


{
  "formula": "SiAu3I",
  "functional": "PBE",
  "state": "optimized geometry",
  "lattice": [[5.325, 0.000, 0.000], [0.000, 5.325, 0.000], [0.000, 0.000, 5.325]],
  "species": ["Au", "Au", "I", "Au", "Si"],
  "frac_coords": [[0.000, 0.500, 0.000], [0.000, 0.000, 0.500], [0.000, 0.000, 0.000], [0.500, 0.000, 0.000], [0.500, 0.500, 0.500]],
  "e_tot_ev_per_cell": -10.399,
  "magmom_total_mub_per_fu": 0.00,
  "formation_energy_uncorrected_kj_per_mol_atoms": 123.6
}


{
  "formula": "Si4Au2I",
  "functional": "PBE",
  "state": "optimized geometry",
  "lattice": [[-2.878, 0.518, 4.247], [-0.355, -5.130, 0.385], [4.102, -2.410, 6.204]],
  "species": ["Si", "Au", "Si", "I", "Si", "Au", "Si"],
  "frac_coords": [[0.500, 0.000, 0.000], [0.401, 0.401, 0.198], [0.000, 0.500, 0.000], [0.000, 0.000, 0.000], [0.766, 0.766, 0.467], [0.599, 0.599, 0.802], [0.234, 0.234, 0.533]],
  "e_tot_ev_per_cell": -22.460,
  "magmom_total_mub_per_fu": 0.00,
  "formation_energy_uncorrected_kj_per_mol_atoms": 101.1
}


{
  "formula": "Si5Au12I3",
  "functional": "PBE",
  "state": "optimized geometry",
  "lattice": [[13.647, 0.000, 0.000], [-4.549, 12.866, 0.000], [-4.549, -6.433, 11.142]],
  "species": ["Au", "Si", "I", "Si", "Au", "Au", "Au", "Au", "Au", "I", "Au", "Au", "Si", "Si", "I", "Au", "Au", "Au", "Si", "Au", "Au", "Au", "Au", "Au", "Au", "Au", "I", "Au", "Si", "Si", "Au", "Si", "Au", "Si", "Au", "Au", "Au", "Au", "Au", "Au", "Si", "I", "Au", "Au", "Si", "Au", "Si", "Au", "Au", "Si", "Au", "Au", "Au", "Au", "I", "Si", "I", "I", "Si", "Au", "I", "I", "Au", "Au", "Au", "Si", "Si", "Si", "Au", "I", "Si", "Au", "Au", "Si", "Au", "Au", "Au", "I", "Au", "Au"],
  "frac_coords": [[0.921, 0.301, 0.487], [0.000, 0.500, 0.000], [0.250, 0.625, 0.875], [0.000, 0.500, 0.500], [0.487, 0.801, 0.921], [0.880, 0.066, 0.579], [0.314, 0.801, 0.380], [0.013, 0.579, 0.699], [0.380, 0.301, 0.314], [0.625, 0.250, 0.375], [0.934, 0.120, 0.921], [0.434, 0.421, 0.620], [0.125, 0.750, 0.375], [0.625, 0.875, 0.250], [0.750, 0.375, 0.125], [0.079, 0.380, 0.066], [0.066, 0.880, 0.079], [0.686, 0.487, 0.566], [0.375, 0.125, 0.750], [0.566, 0.579, 0.380], [0.013, 0.434, 0.814], [0.801, 0.487, 0.421], [0.066, 0.186, 0.487], [0.120, 0.186, 0.199], [0.199, 0.686, 0.120], [0.620, 0.921, 0.434], [0.625, 0.375, 0.750], [0.579, 0.013, 0.199], [0.500, 0.000, 0.500], [0.750, 0.125, 0.875], [0.620, 0.699, 0.686], [0.750, 0.625, 0.375], [0.934, 0.814, 0.513], [0.125, 0.375, 0.250], [0.513, 0.314, 0.934], [0.686, 0.199, 0.620], [0.079, 0.699, 0.513], [0.301, 0.921, 0.987], [0.487, 0.686, 0.066], [0.186, 0.066, 0.987], [0.250, 0.875, 0.125], [0.875, 0.750, 0.125], [0.987, 0.566, 0.186], [0.814, 0.934, 0.013], [0.875, 0.250, 0.625], [0.120, 0.934, 0.421], [0.625, 0.750, 0.875], [0.987, 0.421, 0.301], [0.186, 0.120, 0.699], [0.500, 0.500, 0.000], [0.513, 0.199, 0.079], [0.199, 0.513, 0.579], [0.801, 0.314, 0.880], [0.301, 0.380, 0.814], [0.125, 0.250, 0.875], [0.875, 0.625, 0.750], [0.750, 0.875, 0.625], [0.125, 0.875, 0.750], [0.000, 0.000, 0.500], [0.380, 0.079, 0.566], [0.375, 0.750, 0.625], [0.250, 0.125, 0.375], [0.566, 0.987, 0.686], [0.699, 0.620, 0.186], [0.579, 0.566, 0.880], [0.250, 0.375, 0.625], [0.500, 0.500, 0.500], [0.500, 0.000, 0.000], [0.880, 0.814, 0.801], [0.875, 0.125, 0.250], [0.375, 0.250, 0.125], [0.434, 0.013, 0.314], [0.421, 0.987, 0.801], [0.000, 0.000, 0.000], [0.314, 0.513, 0.434], [0.814, 0.880, 0.301], [0.921, 0.620, 0.934], [0.375, 0.625, 0.250], [0.421, 0.434, 0.120], [0.699, 0.079, 0.013]],
  "e_tot_ev_per_cell": -268.411,
  "magmom_total_mub_per_fu": 0.00,
  "formation_energy_uncorrected_kj_per_mol_atoms": 19.3
}


{
  "formula": "SrSi2AuI",
  "functional": "PBE",
  "state": "optimized geometry",
  "lattice": [[5.345, 0.000, 0.000], [0.000, 5.494, 0.000], [0.000, 0.000, 5.345]],
  "species": ["Si", "Au", "Si", "I", "Sr"],
  "frac_coords": [[0.000, 0.000, 0.500], [0.000, 0.500, 0.000], [0.500, 0.000, 0.000], [0.000, 0.000, 0.000], [0.500, 0.500, 0.500]],
  "e_tot_ev_per_cell": -13.688,
  "magmom_total_mub_per_fu": 0.00,
  "formation_energy_uncorrected_kj_per_mol_atoms": 70.8
}


{
  "formula": "SiTeAuI2",
  "functional": "PBE",
  "state": "optimized geometry",
  "lattice": [[-2.871, -3.427, -3.165], [4.125, -3.600, 0.156], [-2.255, -2.383, 4.626]],
  "species": ["Si", "I", "Te", "I", "Au"],
  "frac_coords": [[0.500, 0.500, 0.500], [0.500, 0.000, 0.000], [0.000, 0.000, 0.500], [0.000, 0.500, 0.000], [0.000, 0.000, 0.000]],
  "e_tot_ev_per_cell": -11.497,
  "magmom_total_mub_per_fu": 0.24,
  "formation_energy_uncorrected_kj_per_mol_atoms": 66.5
}


{
  "formula": "SiTeAuI2",
  "functional": "PBE",
  "state": "optimized geometry",
  "lattice": [[5.421, 0.000, 0.000], [0.000, 5.421, 0.000], [0.000, 0.000, 5.438]],
  "species": ["I", "Si", "Au", "Te", "I"],
  "frac_coords": [[0.500, 0.000, 0.000], [0.000, 0.000, 0.000], [0.500, 0.500, 0.500], [0.000, 0.000, 0.500], [0.000, 0.500, 0.000]],
  "e_tot_ev_per_cell": -12.102,
  "magmom_total_mub_per_fu": 0.00,
  "formation_energy_uncorrected_kj_per_mol_atoms": 54.8
}


{
  "formula": "TlSiAu2I",
  "functional": "PBE",
  "state": "optimized geometry",
  "lattice": [[5.235, 0.000, 0.000], [0.000, 6.558, 0.000], [0.000, 0.000, 5.235]],
  "species": ["Au", "Au", "I", "Tl", "Si"],
  "frac_coords": [[0.000, 0.000, 0.500], [0.500, 0.000, 0.000], [0.000, 0.500, 0.000], [0.000, 0.000, 0.000], [0.500, 0.500, 0.500]],
  "e_tot_ev_per_cell": -11.174,
  "magmom_total_mub_per_fu": 1.06,
  "formation_energy_uncorrected_kj_per_mol_atoms": 91.1
}


{
  "formula": "Sm4AuI5",
  "functional": "PBE",
  "state": "optimized geometry",
  "lattice": [[-3.985, -0.936, -1.118], [2.395, -8.760, -1.199], [-0.689, 0.675, 9.944]],
  "species": ["I", "I", "Sm", "Sm", "Au", "I", "Sm", "I", "I", "Sm"],
  "frac_coords": [[0.174, 0.825, 0.348], [0.832, 0.660, 0.663], [0.001, 0.218, 0.002], [0.349, 0.924, 0.698], [0.500, 0.000, 0.000], [0.826, 0.175, 0.652], [0.651, 0.076, 0.302], [0.500, 0.500, 0.000], [0.168, 0.340, 0.337], [0.999, 0.782, 0.998]],
  "e_tot_ev_per_cell": -41.273,
  "magmom_total_mub_per_fu": 0.00,
  "formation_energy_uncorrected_kj_per_mol_atoms": -109.7
}


{
  "formula": "SmAuI4",
  "functional": "PBE",
  "state": "optimized geometry",
  "lattice": [[-3.281, 2.843, -0.977], [-2.391, -4.875, -6.159], [-9.294, -7.642, 8.972]],
  "species": ["I", "I", "Sm", "I", "Sm", "I", "Au", "I", "Au", "I", "I", "I"],
  "frac_coords": [[0.005, 0.622, 0.869], [0.111, 0.328, 0.600], [0.500, 0.500, 0.000], [0.611, 0.172, 0.900], [0.000, 0.000, 0.500], [0.889, 0.672, 0.400], [0.500, 0.500, 0.500], [0.995, 0.378, 0.131], [0.000, 0.000, 0.000], [0.505, 0.878, 0.631], [0.495, 0.122, 0.369], [0.389, 0.828, 0.100]],
  "e_tot_ev_per_cell": -38.970,
  "magmom_total_mub_per_fu": 0.00,
  "formation_energy_uncorrected_kj_per_mol_atoms": -85.0
}


{
  "formula": "SmAuI",
  "functional": "PBE",
  "state": "optimized geometry",
  "lattice": [[-2.248, 2.754, 1.535], [-4.408, -4.813, 2.181], [6.231, -0.079, 4.383]],
  "species": ["I", "Au", "Sm", "Au", "Sm", "I"],
  "frac_coords": [[0.471, 0.226, 0.943], [0.780, 0.816, 0.560], [0.859, 0.454, 0.717], [0.220, 0.184, 0.440], [0.141, 0.546, 0.283], [0.529, 0.774, 0.057]],
  "e_tot_ev_per_cell": -23.363,
  "magmom_total_mub_per_fu": 0.00,
  "formation_energy_uncorrected_kj_per_mol_atoms": -68.7
}


{
  "formula": "Sm7AuI12",
  "functional": "PBE",
  "state": "optimized geometry",
  "lattice": [[9.486, -0.234, -2.908], [-3.869, 8.664, -2.908], [-0.156, -0.234, 9.920]],
  "species": ["Sm", "I", "I", "I", "Sm", "Sm", "I", "Sm", "I", "I", "Au", "I", "Sm", "I", "I", "I", "Sm", "I", "Sm", "I"],
  "frac_coords": [[0.320, 0.112, 0.040], [0.524, 0.844, 0.606], [0.476, 0.156, 0.394], [0.774, 0.923, 0.314], [0.680, 0.888, 0.960], [0.112, 0.040, 0.320], [0.686, 0.226, 0.077], [0.040, 0.320, 0.112], [0.923, 0.314, 0.774], [0.844, 0.606, 0.524], [0.000, 0.000, 0.000], [0.077, 0.686, 0.226], [0.500, 0.500, 0.500], [0.156, 0.394, 0.476], [0.314, 0.774, 0.923], [0.394, 0.476, 0.156], [0.960, 0.680, 0.888], [0.226, 0.077, 0.686], [0.888, 0.960, 0.680], [0.606, 0.524, 0.844]],
  "e_tot_ev_per_cell": -79.686,
  "magmom_total_mub_per_fu": 0.00,
  "formation_energy_uncorrected_kj_per_mol_atoms": -119.5
}


{
  "formula": "Sn2AuI",
  "functional": "PBE",
  "state": "optimized geometry",
  "lattice": [[4.075, 0.000, 0.000], [2.037, 3.529, 0.000], [2.037, 1.176, 8.261]],
  "species": ["Sn", "Sn", "I", "Au"],
  "frac_coords": [[0.269, 0.269, 0.193], [0.067, 0.067, 0.799], [0.496, 0.496, 0.513], [0.668, 0.668, 0.996]],
  "e_tot_ev_per_cell": -13.371,
  "magmom_total_mub_per_fu": 0.00,
  "formation_energy_uncorrected_kj_per_mol_atoms": -13.0
}


{
  "formula": "Sn2AuI",
  "functional": "PBE",
  "state": "optimized geometry",
  "lattice": [[-3.290, -2.843, -1.460], [-0.287, -4.246, 1.711], [-6.030, 0.282, 5.835]],
  "species": ["Sn", "Sn", "I", "Au"],
  "frac_coords": [[0.875, 0.875, 0.374], [0.125, 0.125, 0.626], [0.000, 0.000, 0.000], [0.500, 0.500, 0.500]],
  "e_tot_ev_per_cell": -13.541,
  "magmom_total_mub_per_fu": 0.00,
  "formation_energy_uncorrected_kj_per_mol_atoms": -17.1
}


{
  "formula": "Sn2AuI",
  "functional": "PBE",
  "state": "optimized geometry",
  "lattice": [[6.758, 0.000, 0.000], [0.000, 6.758, 0.000], [3.379, 3.379, 6.758]],
  "species": ["I", "Sn", "Sn", "Au", "Au", "Sn", "Sn", "I"],
  "frac_coords": [[0.250, 0.750, 0.500], [0.047, 0.625, 0.250], [0.875, 0.953, 0.750], [0.000, 0.000, 0.000], [0.750, 0.250, 0.500], [0.703, 0.125, 0.250], [0.375, 0.297, 0.750], [0.500, 0.500, 0.000]],
  "e_tot_ev_per_cell": -25.416,
  "magmom_total_mub_per_fu": 0.00,
  "formation_energy_uncorrected_kj_per_mol_atoms": 3.0
}


{
  "formula": "SnAu3I",
  "functional": "PBE",
  "state": "optimized geometry",
  "lattice": [[5.292, 0.000, 0.000], [0.000, 5.292, 0.000], [0.000, 0.000, 5.292]],
  "species": ["I", "Sn", "Au", "Au", "Au"],
  "frac_coords": [[0.500, 0.500, 0.500], [0.000, 0.000, 0.000], [0.000, 0.500, 0.000], [0.000, 0.000, 0.500], [0.500, 0.000, 0.000]],
  "e_tot_ev_per_cell": -12.997,
  "magmom_total_mub_per_fu": 0.00,
  "formation_energy_uncorrected_kj_per_mol_atoms": 46.1
}


{
  "formula": "Sn3Au5I12",
  "functional": "PBE",
  "state": "optimized geometry",
  "lattice": [[-11.295, -9.072, -5.893], [2.124, -3.468, 15.102], [-4.133, 15.022, -1.368]],
  "species": ["Au", "I", "Sn", "I", "I", "I", "I", "Au", "I", "Sn", "I", "I", "Au", "Au", "I", "I", "I", "I", "Sn", "I", "I", "I", "Sn", "Au", "I", "I", "Au", "I", "I", "Sn", "I", "Au", "Au", "I", "Au", "Au", "Au", "I", "Sn", "Au", "Au", "I", "Sn", "I", "I", "I", "I", "I", "I", "I", "I", "I", "I", "Sn", "I", "Au", "I", "I", "I", "Au", "I", "Sn", "Au", "I", "I", "I", "Au", "Au", "I", "I", "Au", "Sn", "I", "Au", "I", "Sn", "Sn", "I", "I", "I"],
  "frac_coords": [[0.250, 0.375, 0.625], [0.537, 0.214, 0.125], [0.125, 0.250, 0.875], [0.412, 0.286, 0.323], [0.677, 0.214, 0.588], [0.625, 0.588, 0.912], [0.323, 0.537, 0.412], [0.375, 0.250, 0.125], [0.588, 0.625, 0.412], [0.875, 0.750, 0.125], [0.912, 0.823, 0.537], [0.912, 0.823, 0.786], [0.125, 0.750, 0.375], [0.000, 0.500, 0.000], [0.286, 0.875, 0.963], [0.912, 0.088, 0.875], [0.125, 0.412, 0.088], [0.537, 0.323, 0.912], [0.375, 0.625, 0.250], [0.963, 0.375, 0.286], [0.714, 0.588, 0.177], [0.823, 0.912, 0.037], [0.750, 0.375, 0.125], [0.500, 0.000, 0.500], [0.286, 0.412, 0.823], [0.088, 0.912, 0.375], [0.875, 0.625, 0.750], [0.088, 0.177, 0.463], [0.588, 0.875, 0.412], [0.875, 0.125, 0.250], [0.588, 0.714, 0.677], [0.500, 0.500, 0.500], [0.000, 0.000, 0.000], [0.323, 0.786, 0.412], [0.750, 0.625, 0.375], [0.000, 0.500, 0.500], [0.625, 0.875, 0.250], [0.125, 0.714, 0.537], [0.750, 0.875, 0.625], [0.000, 0.000, 0.500], [0.500, 0.500, 0.000], [0.463, 0.786, 0.875], [0.375, 0.750, 0.625], [0.177, 0.088, 0.963], [0.088, 0.177, 0.214], [0.677, 0.463, 0.588], [0.375, 0.412, 0.088], [0.088, 0.912, 0.125], [0.463, 0.677, 0.088], [0.412, 0.375, 0.588], [0.037, 0.412, 0.823], [0.412, 0.037, 0.323], [0.786, 0.323, 0.912], [0.250, 0.625, 0.875], [0.412, 0.125, 0.588], [0.375, 0.125, 0.750], [0.823, 0.912, 0.286], [0.912, 0.088, 0.625], [0.625, 0.037, 0.214], [0.125, 0.375, 0.250], [0.214, 0.677, 0.088], [0.250, 0.125, 0.375], [0.500, 0.000, 0.000], [0.875, 0.286, 0.463], [0.588, 0.963, 0.677], [0.037, 0.625, 0.714], [0.250, 0.875, 0.125], [0.750, 0.125, 0.875], [0.375, 0.963, 0.786], [0.875, 0.588, 0.912], [0.875, 0.250, 0.625], [0.625, 0.250, 0.375], [0.963, 0.588, 0.177], [0.625, 0.750, 0.875], [0.177, 0.088, 0.714], [0.125, 0.875, 0.750], [0.625, 0.375, 0.750], [0.786, 0.463, 0.375], [0.214, 0.537, 0.625], [0.714, 0.125, 0.037]],
  "e_tot_ev_per_cell": -196.600,
  "magmom_total_mub_per_fu": 0.00,
  "formation_energy_uncorrected_kj_per_mol_atoms": -10.4
}


{
  "formula": "Sn2AuI",
  "functional": "PBE",
  "state": "optimized geometry",
  "lattice": [[0.000, 3.783, 3.783], [3.783, 0.000, 3.783], [3.783, 3.783, 0.000]],
  "species": ["Au", "I", "Sn", "Sn"],
  "frac_coords": [[0.500, 0.500, 0.500], [0.000, 0.000, 0.000], [0.250, 0.250, 0.250], [0.750, 0.750, 0.750]],
  "e_tot_ev_per_cell": -12.054,
  "magmom_total_mub_per_fu": 0.00,
  "formation_energy_uncorrected_kj_per_mol_atoms": 18.8
}